Material: CaSbTe
Method: DFT, PBE
State: optimized geometry

Results
DOS at the Fermi energy: 0.621 states/eV per atom
E_form (uncorrected): -0.52 eV per atom
Spin magnetization: 0.00 μB per formula unit

Geometry as CIF:
```
data_CaSbTe
_cell_length_a 3.402
_cell_length_b 3.402
_cell_length_c 16.675
_cell_angle_alpha 90.00
_cell_angle_beta 90.00
_cell_angle_gamma 90.00
_space_group_name_H-M_alt 'I 4 m m'
_space_group_IT_number 107
_space_group_name_Hall 'I 4 -2'
loop_
_atom_site_label
_atom_site_type_symbol
_atom_site_fract_x
_atom_site_fract_y
_atom_site_fract_z
Ca1 Ca 0.000 0.000 0.000
Sb1 Sb 0.000 0.000 0.642
Te1 Te 0.000 0.000 0.369
```